No. 1
First-principles (PBEsol) data for a relaxed ZnN crystal, as listed in the Alexandria database.

Properties
E_tot ... -4.548 eV/atom
Space group ... F-43m, No. 216

Lattice parameters (Å, degrees): 3.195 3.195 3.195 60.00 60.00 60.00
Sites, in units of the cell vectors:
Zn: 0.000 0.000 0.000
N: 0.250 0.250 0.250

---

No. 2
First-principles (PBEsol) data for a relaxed CsIn2Sb2 crystal, as listed in the Alexandria database.

Properties
E_tot ... -3.485 eV/atom
Space group ... I4/mmm, No. 139

Lattice parameters (Å, degrees): 8.203 8.203 8.203 145.17 145.17 50.09
Sites, in units of the cell vectors:
Cs: 0.000 0.000 0.000
In: 0.250 0.750 0.500
In: 0.750 0.250 0.500
Sb: 0.362 0.362 0.000
Sb: 0.638 0.638 0.000

---

No. 3
First-principles (PBEsol) data for a relaxed NiAgW2 crystal, as listed in the Alexandria database.

Properties
Energy relative to the elements ... 532 meV per atom
Space group ... I-4m2, No. 119

Lattice parameters (Å, degrees): 4.703 4.703 4.703 130.80 130.80 72.13
Sites, in units of the cell vectors:
Ni: 0.000 0.000 0.000
Ag: 0.250 0.750 0.500
W: 0.500 0.500 0.000
W: 0.750 0.250 0.500

---

No. 4
First-principles (PBEsol) data for a relaxed Be5Cu crystal, as listed in the Alexandria database.

Properties
Energy relative to the elements ... -20 meV per atom
Space group ... Cm, No. 8

Lattice parameters (Å, degrees): 4.338 4.338 5.387 103.92 103.92 31.37
Sites, in units of the cell vectors:
Be: 0.000 0.000 0.000
Be: 0.053 0.053 0.598
Be: 0.338 0.338 0.660
Be: 0.390 0.390 0.278
Be: 0.669 0.669 0.335
Cu: 0.723 0.723 0.939

---

No. 5
First-principles (PBEsol) data for a relaxed NiSb2TeN crystal, as listed in the Alexandria database.

Properties
E_tot ... -4.712 eV/atom
Space group ... P4/mmm, No. 123

Lattice parameters (Å, degrees): 4.639 4.639 4.501 90.00 90.00 90.00
Sites, in units of the cell vectors:
Ni: 0.000 0.000 0.000
Sb: 0.000 0.500 0.500
Sb: 0.500 0.000 0.500
Te: 0.500 0.500 0.000
N: 0.500 0.500 0.500

---

No. 6
First-principles (PBEsol) data for a relaxed BaSrCoSb2 crystal, as listed in the Alexandria database.

Properties
E_tot ... -2.989 eV/atom
Space group ... P4/mmm, No. 123

Lattice parameters (Å, degrees): 5.826 5.826 6.254 90.00 90.00 90.00
Sites, in units of the cell vectors:
Ba: 0.000 0.000 0.000
Sr: 0.000 0.000 0.500
Co: 0.500 0.500 0.000
Sb: 0.000 0.500 0.500
Sb: 0.500 0.000 0.500

---

No. 7
First-principles (PBEsol) data for a relaxed HfSe4Cl6 crystal, as listed in the Alexandria database.

Properties
E_tot ... -4.373 eV/atom
Space group ... P4_2/ncm, No. 138

Lattice parameters (Å, degrees): 10.830 10.830 10.508 90.00 90.00 90.00
Sites, in units of the cell vectors:
Hf: 0.000 0.000 0.000
Hf: 0.000 0.500 0.500
Hf: 0.500 0.000 0.500
Hf: 0.500 0.500 0.000
Se: 0.093 0.093 0.419
Se: 0.093 0.407 0.919
Se: 0.107 0.607 0.000
Se: 0.107 0.893 0.500
Se: 0.393 0.607 0.500
Se: 0.393 0.893 0.000
Se: 0.407 0.093 0.919
Se: 0.407 0.407 0.419
Se: 0.593 0.593 0.581
Se: 0.593 0.907 0.081
Se: 0.607 0.107 0.000
Se: 0.607 0.393 0.500
Se: 0.893 0.107 0.500
Se: 0.893 0.393 0.000
Se: 0.907 0.593 0.081
Se: 0.907 0.907 0.581
Cl: 0.056 0.670 0.644
Cl: 0.056 0.830 0.144
Cl: 0.135 0.135 0.116
Cl: 0.135 0.365 0.616
Cl: 0.170 0.556 0.356
Cl: 0.170 0.944 0.856
Cl: 0.330 0.556 0.856
Cl: 0.330 0.944 0.356
Cl: 0.365 0.135 0.616
Cl: 0.365 0.365 0.116
Cl: 0.444 0.670 0.144
Cl: 0.444 0.830 0.644
Cl: 0.556 0.170 0.356
Cl: 0.556 0.330 0.856
Cl: 0.635 0.635 0.884
Cl: 0.635 0.865 0.384
Cl: 0.670 0.056 0.644
Cl: 0.670 0.444 0.144
Cl: 0.830 0.056 0.144
Cl: 0.830 0.444 0.644
Cl: 0.865 0.635 0.384
Cl: 0.865 0.865 0.884
Cl: 0.944 0.170 0.856
Cl: 0.944 0.330 0.356

---

No. 8
First-principles (PBEsol) data for a relaxed Zr2HgIr2 crystal, as listed in the Alexandria database.

Properties
Energy relative to the elements ... -376 meV per atom
Space group ... I4/mmm, No. 139

Lattice parameters (Å, degrees): 6.121 6.121 6.121 137.17 137.17 62.18
Sites, in units of the cell vectors:
Zr: 0.250 0.750 0.500
Zr: 0.750 0.250 0.500
Hg: 0.000 0.000 0.000
Ir: 0.382 0.382 0.000
Ir: 0.618 0.618 0.000

---

No. 9
First-principles (PBEsol) data for a relaxed La2CoOs crystal, as listed in the Alexandria database.

Properties
Energy relative to the elements ... 243 meV per atom
Space group ... P4mm, No. 99

Lattice parameters (Å, degrees): 3.293 3.293 8.334 90.00 90.00 90.00
Sites, in units of the cell vectors:
La: 0.000 0.000 0.000
La: 0.500 0.500 0.414
Co: 0.000 0.000 0.653
Os: 0.500 0.500 0.747

---

No. 10
First-principles (PBEsol) data for a relaxed Cd3Mo crystal, as listed in the Alexandria database.

Properties
Energy relative to the elements ... 431 meV per atom
Space group ... Immm, No. 71

Lattice parameters (Å, degrees): 5.784 5.784 5.784 150.30 128.93 60.20
Sites, in units of the cell vectors:
Cd: 0.000 0.000 0.000
Cd: 0.253 0.753 0.500
Cd: 0.747 0.247 0.500
Mo: 0.500 0.500 0.000

---

No. 11
First-principles (PBEsol) data for a relaxed LuIr crystal, as listed in the Alexandria database.

Properties
Energy relative to the elements ... -957 meV per atom
Space group ... P4/mmm, No. 123

Lattice parameters (Å, degrees): 3.228 3.228 3.454 90.00 90.00 90.00
Sites, in units of the cell vectors:
Lu: 0.000 0.000 0.000
Ir: 0.500 0.500 0.500

---

No. 12
First-principles (PBEsol) data for a relaxed Ta2CrCl crystal, as listed in the Alexandria database.

Properties
E_tot ... -8.386 eV/atom
Space group ... F-43m, No. 216

Lattice parameters (Å, degrees): 4.516 4.516 4.516 60.00 60.00 60.00
Sites, in units of the cell vectors:
Ta: 0.000 0.000 0.000
Ta: 0.250 0.250 0.250
Cr: 0.500 0.500 0.500
Cl: 0.750 0.750 0.750

---

No. 13
First-principles (PBEsol) data for a relaxed MgTcS2N crystal, as listed in the Alexandria database.

Properties
E_tot ... -6.264 eV/atom
Space group ... P4/mmm, No. 123

Lattice parameters (Å, degrees): 4.758 4.758 3.661 90.00 90.00 90.00
Sites, in units of the cell vectors:
Mg: 0.000 0.000 0.000
Tc: 0.500 0.500 0.500
S: 0.000 0.500 0.500
S: 0.500 0.000 0.500
N: 0.500 0.500 0.000

---

No. 14
First-principles (PBEsol) data for a relaxed Ge3OsRh crystal, as listed in the Alexandria database.

Properties
Energy relative to the elements ... 1114 meV per atom
Space group ... Pm-3m, No. 221

Lattice parameters (Å, degrees): 4.592 4.592 4.592 90.00 90.00 90.00
Sites, in units of the cell vectors:
Ge: 0.000 0.000 0.500
Ge: 0.000 0.500 0.000
Ge: 0.500 0.000 0.000
Os: 0.500 0.500 0.500
Rh: 0.000 0.000 0.000

---

No. 15
First-principles (PBEsol) data for a relaxed InSi2AgF crystal, as listed in the Alexandria database.

Properties
E_tot ... -3.590 eV/atom
Space group ... P4/mmm, No. 123

Lattice parameters (Å, degrees): 5.123 5.123 4.136 90.00 90.00 90.00
Sites, in units of the cell vectors:
In: 0.000 0.000 0.000
Si: 0.000 0.500 0.000
Si: 0.500 0.000 0.000
Ag: 0.500 0.500 0.500
F: 0.000 0.000 0.500

---

No. 16
First-principles (PBEsol) data for a relaxed LaNb2CuBrO7 crystal, as listed in the Alexandria database.

Properties
E_tot ... -8.159 eV/atom
Space group ... Cmmm, No. 65

Lattice parameters (Å, degrees): 5.514 5.514 11.658 90.00 90.00 90.26
Sites, in units of the cell vectors:
La: 0.238 0.762 0.000
La: 0.762 0.238 0.000
Nb: 0.253 0.253 0.191
Nb: 0.253 0.253 0.809
Nb: 0.747 0.747 0.191
Nb: 0.747 0.747 0.809
Cu: 0.279 0.279 0.500
Cu: 0.721 0.721 0.500
Br: 0.235 0.765 0.500
Br: 0.765 0.235 0.500
O: 0.000 0.000 0.180
O: 0.000 0.000 0.820
O: 0.000 0.500 0.152
O: 0.000 0.500 0.848
O: 0.205 0.205 0.000
O: 0.279 0.279 0.345
O: 0.279 0.279 0.655
O: 0.500 0.000 0.152
O: 0.500 0.000 0.848
O: 0.500 0.500 0.133
O: 0.500 0.500 0.867
O: 0.721 0.721 0.345
O: 0.721 0.721 0.655
O: 0.795 0.795 0.000

---

No. 17
First-principles (PBEsol) data for a relaxed Na2Y3Te4Cl3O12 crystal, as listed in the Alexandria database.

Properties
E_tot ... -6.494 eV/atom
Space group ... C2/c, No. 15

Lattice parameters (Å, degrees): 12.100 12.100 16.511 132.55 132.55 26.24
Sites, in units of the cell vectors:
Na: 0.054 0.618 0.931
Na: 0.382 0.946 0.569
Na: 0.618 0.054 0.431
Na: 0.946 0.382 0.069
Y: 0.247 0.751 0.915
Y: 0.249 0.753 0.585
Y: 0.252 0.748 0.250
Y: 0.748 0.252 0.750
Y: 0.751 0.247 0.415
Y: 0.753 0.249 0.085
Te: 0.071 0.658 0.300
Te: 0.162 0.562 0.595
Te: 0.342 0.929 0.200
Te: 0.438 0.838 0.905
Te: 0.562 0.162 0.095
Te: 0.658 0.071 0.800
Te: 0.838 0.438 0.405
Te: 0.929 0.342 0.700
Cl: 0.000 0.500 0.000
Cl: 0.004 0.499 0.334
Cl: 0.499 0.004 0.834
Cl: 0.500 0.000 0.500
Cl: 0.501 0.996 0.166
Cl: 0.996 0.501 0.666
O: 0.006 0.856 0.285
O: 0.027 0.122 0.387
O: 0.070 0.101 0.078
O: 0.101 0.070 0.578
O: 0.122 0.027 0.887
O: 0.144 0.994 0.215
O: 0.356 0.497 0.743
O: 0.380 0.480 0.410
O: 0.397 0.431 0.074
O: 0.431 0.397 0.574
O: 0.480 0.380 0.910
O: 0.497 0.356 0.243
O: 0.503 0.644 0.757
O: 0.520 0.620 0.090
O: 0.569 0.603 0.426
O: 0.603 0.569 0.926
O: 0.620 0.520 0.590
O: 0.644 0.503 0.257
O: 0.856 0.006 0.785
O: 0.878 0.973 0.113
O: 0.899 0.930 0.422
O: 0.930 0.899 0.922
O: 0.973 0.878 0.613
O: 0.994 0.144 0.715

---

No. 18
First-principles (PBEsol) data for a relaxed La3Y crystal, as listed in the Alexandria database.

Properties
Energy relative to the elements ... 34 meV per atom
Space group ... P-6m2, No. 187

Lattice parameters (Å, degrees): 3.618 3.618 11.791 90.00 90.00 120.00
Sites, in units of the cell vectors:
La: 0.000 0.000 0.000
La: 0.333 0.667 0.256
La: 0.333 0.667 0.744
Y: 0.000 0.000 0.500

---

No. 19
First-principles (PBEsol) data for a relaxed TlAg3 crystal, as listed in the Alexandria database.

Properties
Energy relative to the elements ... 84 meV per atom
Space group ... Pnma, No. 62

Lattice parameters (Å, degrees): 5.255 9.425 5.993 90.00 90.00 90.00
Sites, in units of the cell vectors:
Tl: 0.077 0.250 0.102
Tl: 0.423 0.750 0.602
Tl: 0.577 0.250 0.398
Tl: 0.923 0.750 0.898
Ag: 0.086 0.250 0.622
Ag: 0.230 0.502 0.364
Ag: 0.230 0.998 0.364
Ag: 0.270 0.002 0.864
Ag: 0.270 0.498 0.864
Ag: 0.414 0.750 0.122
Ag: 0.586 0.250 0.878
Ag: 0.730 0.502 0.136
Ag: 0.730 0.998 0.136
Ag: 0.770 0.002 0.636
Ag: 0.770 0.498 0.636
Ag: 0.914 0.750 0.378

---

No. 20
First-principles (PBEsol) data for a relaxed ZnCd2Ag crystal, as listed in the Alexandria database.

Properties
Energy relative to the elements ... 4 meV per atom
Space group ... Pmmm, No. 47

Lattice parameters (Å, degrees): 3.087 4.012 5.753 90.00 90.00 90.00
Sites, in units of the cell vectors:
Zn: 0.000 0.000 0.000
Cd: 0.500 0.500 0.248
Cd: 0.500 0.500 0.752
Ag: 0.000 0.000 0.500

---

Summary of magnetic moment in μB/cell
0.00; 0.00; 0.00; 0.00; 0.00; 2.49; 0.00; 0.00; 0.73; 0.04; 0.00; 2.52; 0.00; 1.06; 0.00; 0.03; 0.00; 0.00; 0.00; 0.00
(order as listed above)